No. 1
The following is a DFT calculation (PBE-GGA) of a relaxed KLi2Ag2 crystal.

Summary:
Magnetic moment (μB per formula unit): 0.00
Fermi-level density of states (states/eV/atom): 0.3762
E_tot (eV per formula unit): -10.79
Offset from the most stable computed form (eV/atom): 0.0203
Energy of formation from the pure elements (meV/atom): -33

a = 6.7744 Å, b = 6.7744 Å, c = 6.7744 Å
α = 140.48°, β = 140.48°, γ = 57.12°
Last column: nearest neighbours and their distance in Å.
Element x y z (fractional)
K  0.0000  0.0000  0.0000  8 Ag 3.54, 8 Li 3.75
Li  0.2500  0.7500  0.5000  4 Ag 2.77
Li  0.7500  0.2500  0.5000  4 Ag 2.77
Ag  0.3805  0.3805  0.0000  4 Li 2.77, 1 Ag 2.84
Ag  0.6195  0.6195  0.0000  4 Li 2.77, 1 Ag 2.84



No. 2
The following is a DFT calculation (PBE-GGA) of a relaxed K3LiAg crystal.

Summary:
Magnetic moment (μB per formula unit): 0.00
Fermi-level density of states (states/eV/atom): 0.9460
E_tot (eV per formula unit): -7.19
Offset from the most stable computed form (eV/atom): 0.0000
Energy of formation from the pure elements (meV/atom): 174

a = 6.5837 Å, b = 6.5837 Å, c = 6.5837 Å
α = 90.00°, β = 90.00°, γ = 90.00°
Last column: nearest neighbours and their distance in Å.
Element x y z (fractional)
K  0.0000  0.0000  0.5000  2 Ag 3.29
K  0.0000  0.5000  0.0000  2 Ag 3.29
K  0.5000  0.0000  0.0000  2 Ag 3.29
Li  0.5000  0.5000  0.5000  12 K 4.66
Ag  0.0000  0.0000  0.0000  6 K 3.29



No. 3
The following is a DFT calculation (PBE-GGA) of a relaxed KLi3Ag crystal.

Summary:
Magnetic moment (μB per formula unit): 0.00
Fermi-level density of states (states/eV/atom): 0.4620
E_tot (eV per formula unit): -9.49
Offset from the most stable computed form (eV/atom): 0.0000
Energy of formation from the pure elements (meV/atom): 41

a = 5.2563 Å, b = 5.2563 Å, c = 5.2563 Å
α = 90.00°, β = 90.00°, γ = 90.00°
Last column: nearest neighbours and their distance in Å.
Element x y z (fractional)
K  0.0000  0.0000  0.0000  12 Li 3.72
Li  0.0000  0.5000  0.5000  2 Ag 2.63
Li  0.5000  0.0000  0.5000  2 Ag 2.63
Li  0.5000  0.5000  0.0000  2 Ag 2.63
Ag  0.5000  0.5000  0.5000  6 Li 2.63



No. 4
The following is a DFT calculation (PBE-GGA) of a relaxed KLiAg2 crystal.

Summary:
Magnetic moment (μB per formula unit): 0.00
Fermi-level density of states (states/eV/atom): 0.3997
E_tot (eV per formula unit): -8.01
Offset from the most stable computed form (eV/atom): 0.2263
Energy of formation from the pure elements (meV/atom): 176

a = 9.5306 Å, b = 9.5306 Å, c = 9.5306 Å
α = 20.42°, β = 20.42°, γ = 20.42°
Last column: nearest neighbours and their distance in Å.
Element x y z (fractional)
K  0.0000  0.0000  0.0000  6 K 3.38, 6 Ag 3.38
Li  0.5000  0.5000  0.5000  6 Ag 2.73
Ag  0.2347  0.2347  0.2347  3 Li 2.73
Ag  0.7653  0.7653  0.7653  3 Li 2.73



No. 5
The following is a DFT calculation (PBE-GGA) of a relaxed KLiAg crystal.

Summary:
Magnetic moment (μB per formula unit): 0.00
Fermi-level density of states (states/eV/atom): 0.5049
E_tot (eV per formula unit): -5.92
Offset from the most stable computed form (eV/atom): 0.0000
Energy of formation from the pure elements (meV/atom): -18

a = 4.6686 Å, b = 4.6686 Å, c = 8.3229 Å
α = 90.00°, β = 90.00°, γ = 90.00°
Last column: nearest neighbours and their distance in Å.
Element x y z (fractional)
K  0.2500  0.2500  0.1576  5 Ag 3.58-4.00, 4 Li 3.68
K  0.7500  0.7500  0.8424  5 Ag 3.58-4.00, 4 Li 3.68
Li  0.2500  0.7500  0.5000  4 Ag 2.76
Li  0.7500  0.2500  0.5000  4 Ag 2.76
Ag  0.2500  0.2500  0.6770  4 Li 2.76
Ag  0.7500  0.7500  0.3230  4 Li 2.76



No. 6
The following is a DFT calculation (PBE-GGA) of a relaxed KLiAg2 crystal.

Summary:
Magnetic moment (μB per formula unit): 0.00
Fermi-level density of states (states/eV/atom): 0.2965
E_tot (eV per formula unit): -8.89
Offset from the most stable computed form (eV/atom): 0.0065
Energy of formation from the pure elements (meV/atom): -44

a = 4.7540 Å, b = 4.7540 Å, c = 6.4636 Å
α = 111.12°, β = 111.12°, γ = 60.00°
Last column: nearest neighbours and their distance in Å.
Element x y z (fractional)
K  0.0000  0.0000  0.0000  1 Li 3.24, 1 Ag 3.38
Li  0.1822  0.1822  0.5511  6 Ag 2.78-2.85
Ag  0.4920  0.4920  0.4792  3 Ag 2.76, 3 Li 2.78
Ag  0.8073  0.8073  0.4245  3 Ag 2.76, 3 Li 2.84-2.85